Computed, not measured: crystalline TbMg2GaNi2 at its relaxed geometry at the GGA-PBE level of DFT.

Unit cell a=6.0787 b=6.0787 c=6.0787 alpha=132.10 beta=132.10 gamma=70.07
Positions (direct):
Tb1 0.0000 0.0000 0.0000
Mg1 0.2500 0.7500 0.5000
Mg2 0.7500 0.2500 0.5000
Ga1 0.5000 0.5000 0.0000
Ni1 0.2718 0.2718 0.0000
Ni2 0.7282 0.7282 0.0000

Summary:
The calculation puts the formation energy at -0.35 eV/f.u. Its volume is 20.21 A^3/atom. The magnetization comes out at 0.000 μB per formula unit.